{"formula": "Pr6Dy2ErSc", "functional": "GGA-PBE", "state": "relaxed", "final_energy_ev_per_cell": -46.6, "formation_energy_ev_per_fu": 2.2, "cell": [[-5.2164, -4.5713, -5.7695], [5.0410, -5.6814, -0.0563], [-4.2390, 1.2704, 4.6186]], "species": ["Pr", "Pr", "Pr", "Pr", "Pr", "Pr", "Dy", "Dy", "Er", "Sc"], "frac_coords": [[0.4435, 0.6579, 0.3157], [0.2162, 0.0848, 0.7333], [0.7838, 0.3515, 0.2667], [0.2162, 0.6485, 0.7333], [0.7838, 0.9152, 0.2667], [0.5565, 0.3421, 0.6843], [0.1398, 0.1298, 0.2595], [0.8602, 0.8702, 0.7405], [0.0000, 0.5000, 0.0000], [0.5000, 0.0000, 0.0000]]}

***

{"formula": "Li6Mg2Zn3", "functional": "GGA-PBE", "state": "relaxed", "final_energy_ev_per_cell": -18.8, "formation_energy_ev_per_fu": -0.3, "cell": [[-1.7395, -1.2571, -3.1382], [3.3749, -0.8516, -1.5296], [-1.5385, -11.6882, 7.8379]], "species": ["Li", "Li", "Li", "Li", "Li", "Li", "Mg", "Mg", "Zn", "Zn", "Zn"], "frac_coords": [[0.1603, 0.6603, 0.3206], [0.6603, 0.1603, 0.3206], [0.8397, 0.3397, 0.6794], [0.3397, 0.8397, 0.6794], [0.7564, 0.7564, 0.5128], [0.2436, 0.2436, 0.4872], [0.4409, 0.4409, 0.8819], [0.5591, 0.5591, 0.1181], [0.0000, 0.0000, 0.0000], [0.9072, 0.9072, 0.8144], [0.0928, 0.0928, 0.1856]]}

***

{"formula": "Tb4SmSc5", "functional": "GGA-PBE", "state": "relaxed", "final_energy_ev_per_cell": -52.5, "formation_energy_ev_per_fu": 2.4, "cell": [[5.6724, 0.0000, 0.0000], [2.8362, 7.1670, 0.0000], [2.8362, 0.0000, 7.1670]], "species": ["Tb", "Tb", "Tb", "Tb", "Sm", "Sc", "Sc", "Sc", "Sc", "Sc"], "frac_coords": [[0.4710, 0.3229, 0.6771], [0.7939, 0.6771, 0.6771], [0.1481, 0.3229, 0.3229], [0.4710, 0.6771, 0.3229], [0.2085, 0.0000, 0.0000], [0.7432, 0.3796, 0.0000], [0.1228, 0.0000, 0.6204], [0.7432, 0.0000, 0.3796], [0.1228, 0.6204, 0.0000], [0.6857, 0.0000, 0.0000]]}

***

{"formula": "AcY2ReN4", "functional": "GGA-PBE", "state": "relaxed", "final_energy_ev_per_cell": -141.6, "formation_energy_uncorrected_ev_per_fu": -8.04, "cell": [[-2.5072, -1.6789, 1.8416], [4.9643, 0.4745, 3.7984], [-4.0883, 10.5242, 4.0287]], "species": ["Ac", "Ac", "Y", "Y", "Y", "Y", "Re", "Re", "N", "N", "N", "N", "N", "N", "N", "N"], "frac_coords": [[0.0809, 0.1618, 0.7500], [0.9191, 0.8382, 0.2500], [0.3694, 0.7388, 0.5418], [0.6306, 0.2612, 0.0418], [0.6306, 0.2612, 0.4582], [0.3694, 0.7388, 0.9582], [0.8242, 0.6484, 0.7500], [0.1758, 0.3516, 0.2500], [0.2605, 0.5209, 0.1146], [0.7395, 0.4791, 0.6146], [0.7395, 0.4791, 0.8854], [0.2605, 0.5209, 0.3854], [0.0000, 0.0000, 0.5000], [0.0000, 0.0000, 0.0000], [0.4098, 0.8196, 0.7500], [0.5902, 0.1804, 0.2500]]}

***

{"formula": "Th3Ge2Ir3", "functional": "GGA-PBE", "state": "relaxed", "final_energy_ev_per_cell": -129.8, "formation_energy_ev_per_fu": -6.8, "cell": [[-2.6591, -0.4041, 3.3989], [-0.2890, -4.6416, -3.5416], [10.7258, -6.4824, 7.6207]], "species": ["Th", "Th", "Th", "Th", "Th", "Th", "Ge", "Ge", "Ge", "Ge", "Ir", "Ir", "Ir", "Ir", "Ir", "Ir"], "frac_coords": [[0.9200, 0.8401, 0.3923], [0.0800, 0.1599, 0.8923], [0.9200, 0.8401, 0.1077], [0.0800, 0.1599, 0.6077], [0.6294, 0.2589, 0.2500], [0.3706, 0.7411, 0.7500], [0.7831, 0.5662, 0.9071], [0.2169, 0.4338, 0.4071], [0.7831, 0.5662, 0.5929], [0.2169, 0.4338, 0.0929], [0.6156, 0.2313, 0.4514], [0.3844, 0.7687, 0.9514], [0.6156, 0.2313, 0.0486], [0.3844, 0.7687, 0.5486], [0.3321, 0.6643, 0.2500], [0.6679, 0.3357, 0.7500]]}

***

{"formula": "KZnNi2", "functional": "GGA-PBE", "state": "relaxed", "final_energy_ev_per_cell": -24.2, "formation_energy_ev_per_fu": 1.9, "cell": [[4.7007, 0.0000, 0.0000], [0.0000, 4.7007, 0.0000], [2.3504, 2.3504, 8.4072]], "species": ["Ni", "Ni", "Ni", "Ni", "Zn", "Zn", "K", "K"], "frac_coords": [[0.8749, 0.1250, 0.2500], [0.8751, 0.6250, 0.2500], [0.3750, 0.1251, 0.7500], [0.8750, 0.1249, 0.7500], [0.0000, 0.0000, 0.0000], [0.7500, 0.2500, 0.5000], [0.5000, 0.5000, 0.0000], [0.2500, 0.7500, 0.5000]]}